#a
VASP calculation (GGA+U) on an optimized crystal structure of VTc2O2.

## Properties
As for the size of the total moment: 1.38 μB/f.u. As for the space group: No. 127. Its density of states at the Fermi level is 0.4293 states/eV/atom. For the volume, the calculation gives 121 Å³ per cell.

Lattice parameters (Å, degrees): 5.483 5.483 4.032 90.00 90.00 90.00
Fractional positions:
V 0.000 0.000 0.000
V 0.500 0.500 0.000
Tc 0.148 0.352 0.500
Tc 0.352 0.852 0.500
Tc 0.648 0.148 0.500
Tc 0.852 0.648 0.500
O 0.179 0.321 0.000
O 0.321 0.821 0.000
O 0.679 0.179 0.000
O 0.821 0.679 0.000

---

#b
VASP calculation (GGA+U) on an optimized crystal structure of VTc2O2.

## Properties
As for the size of the total moment: 0.70 μB/f.u. As for the space group: No. 139. Its density of states at the Fermi level is 0.6389 states/eV/atom. For the volume, the calculation gives 64 Å³ per cell.

Lattice parameters (Å, degrees): 4.632 4.632 4.632 125.13 125.13 81.33
Fractional positions:
V 0.000 0.000 0.000
Tc 0.250 0.750 0.500
Tc 0.750 0.250 0.500
O 0.279 0.279 0.000
O 0.721 0.721 0.000

---

Computed relative energies in units of kJ/mol of atoms: #a 0.0; #b 69.9

---

#a
VASP calculation (GGA+U) on an optimized crystal structure of VTcO4.

## Properties
As for the size of the total moment: 3.74 μB/f.u. As for the space group: No. 109. Its density of states at the Fermi level is 0.3694 states/eV/atom. For the volume, the calculation gives 132 Å³ per cell.

Lattice parameters (Å, degrees): 5.553 5.553 5.553 108.04 108.04 112.37
Fractional positions:
V 0.000 0.000 0.000
V 0.750 0.250 0.500
Tc 0.244 0.744 0.500
Tc 0.494 0.494 0.000
O 0.002 0.304 0.303
O 0.002 0.699 0.697
O 0.054 0.252 0.803
O 0.449 0.252 0.197
O 0.495 0.191 0.696
O 0.495 0.800 0.304
O 0.550 0.745 0.804
O 0.941 0.745 0.196

---

#b
VASP calculation (GGA+U) on an optimized crystal structure of VTcO4.

## Properties
As for the size of the total moment: 4.02 μB/f.u. As for the space group: No. 82. Its density of states at the Fermi level is 0.1445 states/eV/atom. For the volume, the calculation gives 127 Å³ per cell.

Lattice parameters (Å, degrees): 5.775 5.775 5.775 123.86 123.86 83.44
Fractional positions:
V 0.000 0.000 0.000
Tc 0.750 0.250 0.500
O 0.006 0.614 0.873
O 0.386 0.259 0.392
O 0.741 0.134 0.127
O 0.866 0.994 0.608

---

Computed relative energies in units of kJ/mol of atoms: #a 0.0; #b 24.9

---

#a
VASP calculation (GGA+U) on an optimized crystal structure of V3TcO.

## Properties
As for the size of the total moment: 5.76 μB/f.u. As for the space group: No. 221. Its density of states at the Fermi level is 0.4416 states/eV/atom. For the volume, the calculation gives 71 Å³ per cell.

Lattice parameters (Å, degrees): 4.134 4.134 4.134 90.00 90.00 90.00
Fractional positions:
V 0.000 0.000 0.500
V 0.000 0.500 0.000
V 0.500 0.000 0.000
Tc 0.500 0.500 0.500
O 0.000 0.000 0.000

---

#b
VASP calculation (GGA+U) on an optimized crystal structure of V3TcO.

## Properties
As for the size of the total moment: 7.46 μB/f.u. As for the space group: No. 221. Its density of states at the Fermi level is 0.2705 states/eV/atom. For the volume, the calculation gives 107 Å³ per cell.

Lattice parameters (Å, degrees): 4.752 4.752 4.752 90.00 90.00 90.00
Fractional positions:
V 0.000 0.000 0.500
V 0.000 0.500 0.000
V 0.500 0.000 0.000
Tc 0.000 0.000 0.000
O 0.500 0.500 0.500

---

Computed relative energies in units of kJ/mol of atoms: #a 0.0; #b 158.3

---

#a
VASP calculation (GGA+U) on an optimized crystal structure of VTcO2.

## Properties
As for the size of the total moment: 1.33 μB/f.u. As for the space group: No. 122. Its density of states at the Fermi level is 0.5596 states/eV/atom. For the volume, the calculation gives 96 Å³ per cell.

Lattice parameters (Å, degrees): 6.240 6.240 6.240 140.78 140.78 56.66
Fractional positions:
V 0.000 0.000 0.000
V 0.750 0.250 0.500
Tc 0.250 0.750 0.500
Tc 0.500 0.500 0.000
O 0.114 0.625 0.989
O 0.375 0.364 0.489
O 0.636 0.125 0.011
O 0.875 0.886 0.511

---

#b
VASP calculation (GGA+U) on an optimized crystal structure of VTcO2.

## Properties
As for the size of the total moment: 3.07 μB/f.u. As for the space group: No. 166. Its density of states at the Fermi level is 0.7620 states/eV/atom. For the volume, the calculation gives 47 Å³ per cell.

Lattice parameters (Å, degrees): 6.548 6.548 6.548 25.83 25.83 25.83
Fractional positions:
V 0.000 0.000 0.000
Tc 0.500 0.500 0.500
O 0.391 0.391 0.391
O 0.609 0.609 0.609

---

Computed relative energies in units of kJ/mol of atoms: #a 36.7; #b 0.0

---

#a
VASP calculation (GGA+U) on an optimized crystal structure of TcWO2.

## Properties
As for the size of the total moment: 0.90 μB/f.u. As for the space group: No. 122. Its density of states at the Fermi level is 0.6015 states/eV/atom. For the volume, the calculation gives 98 Å³ per cell.

Lattice parameters (Å, degrees): 6.897 6.897 6.897 146.75 146.75 47.73
Fractional positions:
Tc 0.000 0.000 0.000
Tc 0.750 0.250 0.500
W 0.250 0.750 0.500
W 0.500 0.500 0.000
O 0.137 0.625 0.012
O 0.375 0.387 0.512
O 0.613 0.125 0.988
O 0.875 0.863 0.488

---

#b
VASP calculation (GGA+U) on an optimized crystal structure of TcWO2.

## Properties
As for the size of the total moment: 0.00 μB/f.u. As for the space group: No. 225. Its density of states at the Fermi level is 0.8688 states/eV/atom. For the volume, the calculation gives 44 Å³ per cell.

Lattice parameters (Å, degrees): 3.968 3.968 3.968 60.00 60.00 60.00
Fractional positions:
Tc 0.000 0.000 0.000
W 0.500 0.500 0.500
O 0.250 0.250 0.250
O 0.750 0.750 0.750

---

Computed relative energies in units of kJ/mol of atoms: #a 0.0; #b 73.2